Record 1
## Zn2SiAg (PBE)

Data for crystalline Zn2SiAg at its relaxed geometry.

## Properties
E: -10.21 eV per formula unit

Cell: 3.4806 3.4806 5.2680 Å, 90.00 90.00 90.00°
With the nearest neighbours (Å) after each atom.
Fractional positions:
Zn (0.0000, 0.0000, 0.2421)  2 Zn 2.55-2.72, 4 Si 2.77, 4 Ag 2.81
Zn (0.0000, 0.0000, 0.7579)  2 Zn 2.55-2.72, 4 Si 2.77, 4 Ag 2.81
Si (0.5000, 0.5000, 0.0000)  2 Ag 2.63, 8 Zn 2.77
Ag (0.5000, 0.5000, 0.5000)  2 Si 2.63, 8 Zn 2.81

Record 2
## Sm2Dy6YSc (PBE)

Data for crystalline Sm2Dy6YSc at its relaxed geometry.

## Properties
Formation energy: 0.122 eV/atom

Cell: 8.7024 8.7024 9.5180 Å, 94.17 94.17 117.70°
With the nearest neighbours (Å) after each atom.
Fractional positions:
Sm (0.1961, 0.3005, 0.4551)  5 Dy 3.19-3.50, 2 Y 3.36-3.39, 1 Sc 3.46
Sm (0.3005, 0.1961, 0.9551)  5 Dy 3.19-3.50, 2 Y 3.36-3.39, 1 Sc 3.46
Sm (0.6995, 0.8039, 0.0449)  5 Dy 3.19-3.50, 2 Y 3.36-3.39, 1 Sc 3.46
Sm (0.8039, 0.6995, 0.5449)  5 Dy 3.19-3.50, 2 Y 3.36-3.39, 1 Sc 3.46
Dy (0.0029, 0.7924, 0.8831)  3 Sm 3.19-3.39, 4 Dy 3.24-3.46, 2 Sc 3.33-3.49
Dy (0.0691, 0.5098, 0.6913)  4 Dy 3.24-3.63, 1 Sm 3.35, 1 Sc 3.37, 1 Y 3.55
Dy (0.2076, 0.9971, 0.6169)  3 Sm 3.19-3.39, 4 Dy 3.24-3.46, 2 Sc 3.33-3.49
Dy (0.2488, 0.6280, 0.0559)  7 Dy 3.40-3.70, 1 Sm 3.50, 1 Y 3.62, 1 Sc 3.79
Dy (0.3720, 0.7512, 0.4441)  7 Dy 3.40-3.70, 1 Sm 3.50, 1 Y 3.62, 1 Sc 3.79
Dy (0.4902, 0.9309, 0.8087)  4 Dy 3.24-3.63, 1 Sm 3.35, 1 Sc 3.37, 1 Y 3.55
Dy (0.5098, 0.0691, 0.1913)  4 Dy 3.24-3.63, 1 Sm 3.35, 1 Sc 3.37, 1 Y 3.55
Dy (0.6280, 0.2488, 0.5559)  7 Dy 3.40-3.70, 1 Sm 3.50, 1 Y 3.62, 1 Sc 3.79
Dy (0.7512, 0.3720, 0.9441)  7 Dy 3.40-3.70, 1 Sm 3.50, 1 Y 3.62, 1 Sc 3.79
Dy (0.7924, 0.0029, 0.3831)  3 Sm 3.19-3.39, 4 Dy 3.24-3.46, 2 Sc 3.33-3.49
Dy (0.9309, 0.4902, 0.3087)  4 Dy 3.24-3.63, 1 Sm 3.35, 1 Sc 3.37, 1 Y 3.55
Dy (0.9971, 0.2076, 0.1169)  3 Sm 3.19-3.39, 4 Dy 3.24-3.46, 2 Sc 3.33-3.49
Y (0.4811, 0.5189, 0.7500)  4 Sm 3.36-3.39, 4 Dy 3.55-3.62
Y (0.5189, 0.4811, 0.2500)  4 Sm 3.36-3.39, 4 Dy 3.55-3.62
Sc (0.0883, 0.9117, 0.2500)  6 Dy 3.33-3.49, 2 Sm 3.46
Sc (0.9117, 0.0883, 0.7500)  6 Dy 3.33-3.49, 2 Sm 3.46

Record 3
## InPtBr (PBE)

Data for crystalline InPtBr at its relaxed geometry.

## Properties
Energy above the most stable polymorph in this dataset: 0.158 eV per atom

Cell: 6.6074 6.6074 6.6074 Å, 90.00 90.00 90.00°
With the nearest neighbours (Å) after each atom.
Fractional positions:
In (0.0000, 0.0000, 0.0000)  4 Pt 2.86
In (0.0000, 0.5000, 0.5000)  4 Pt 2.86
In (0.5000, 0.0000, 0.5000)  4 Pt 2.86
In (0.5000, 0.5000, 0.0000)  4 Pt 2.86
Pt (0.2500, 0.2500, 0.2500)  4 Br 2.86, 4 In 2.86
Pt (0.2500, 0.7500, 0.7500)  4 In 2.86, 4 Br 2.86
Pt (0.7500, 0.2500, 0.7500)  4 In 2.86, 4 Br 2.86
Pt (0.7500, 0.7500, 0.2500)  4 In 2.86, 4 Br 2.86
Br (0.0000, 0.0000, 0.5000)  4 Pt 2.86
Br (0.0000, 0.5000, 0.0000)  4 Pt 2.86
Br (0.5000, 0.0000, 0.0000)  4 Pt 2.86
Br (0.5000, 0.5000, 0.5000)  4 Pt 2.86

Record 4
## Tb2Bi2S (PBE)

Data for crystalline Tb2Bi2S at its relaxed geometry.

## Properties
E: -26.35 eV per formula unit

Cell: 7.5146 7.5146 11.4066 Å, 118.24 118.24 34.29°
With the nearest neighbours (Å) after each atom.
Fractional positions:
Tb (0.0140, 0.0140, 0.1768)  1 S 2.59
Tb (0.1717, 0.1717, 0.5839)  3 S 2.69-2.71
Tb (0.8283, 0.8283, 0.4161)  3 S 2.69-2.71
Tb (0.9860, 0.9860, 0.8232)  1 S 2.59
Bi (0.3759, 0.3759, 0.9480)  1 Bi 3.15, 4 Tb 3.24-3.42
Bi (0.4570, 0.4570, 0.3390)  4 Tb 3.24-3.27, 1 Bi 3.24
Bi (0.5430, 0.5430, 0.6610)  4 Tb 3.24-3.27, 1 Bi 3.24
Bi (0.6241, 0.6241, 0.0520)  1 Bi 3.15, 4 Tb 3.24-3.42
S (0.2100, 0.2100, 0.3743)  4 Tb 2.59-2.71
S (0.7900, 0.7900, 0.6257)  4 Tb 2.59-2.71

Record 5
## LaCr2Co (PBE)

Data for crystalline LaCr2Co at its relaxed geometry.

## Properties
Energy above the most stable polymorph in this dataset: 0.421 eV per atom
Formation energy: 0.727 eV/atom

Cell: 4.4383 4.4383 16.0902 Å, 90.00 90.00 90.00°
With the nearest neighbours (Å) after each atom.
Fractional positions:
La (0.0000, 0.2500, 0.3750)  4 Co 3.14, 8 Cr 3.19
La (0.0000, 0.7500, 0.6250)  4 Co 3.14, 8 Cr 3.19
La (0.5000, 0.2500, 0.1250)  4 Co 3.14, 8 Cr 3.19
La (0.5000, 0.7500, 0.8750)  4 Co 3.14, 8 Cr 3.19
Cr (0.0000, 0.0000, 0.0000)  2 Cr 2.22, 2 Co 2.30
Cr (0.0000, 0.5000, 0.0000)  2 Cr 2.22, 2 Co 2.30
Cr (0.2500, 0.2500, 0.7500)  2 Cr 2.22, 2 Co 2.30
Cr (0.2500, 0.7500, 0.2500)  2 Cr 2.22, 2 Co 2.30
Cr (0.5000, 0.0000, 0.5000)  2 Cr 2.22, 2 Co 2.30
Cr (0.5000, 0.5000, 0.5000)  2 Cr 2.22, 2 Co 2.30
Cr (0.7500, 0.2500, 0.7500)  2 Cr 2.22, 2 Co 2.30
Cr (0.7500, 0.7500, 0.2500)  2 Cr 2.22, 2 Co 2.30
Co (0.0000, 0.2500, 0.8750)  4 Cr 2.30
Co (0.0000, 0.7500, 0.1250)  4 Cr 2.30
Co (0.5000, 0.2500, 0.6250)  4 Cr 2.30
Co (0.5000, 0.7500, 0.3750)  4 Cr 2.30

Record 6
## CaRh2Au (PBE)

Data for crystalline CaRh2Au at its relaxed geometry.

## Properties
Formation energy: -0.163 eV/atom

Cell: 10.6516 2.9870 4.9445 Å, 90.00 117.54 90.00°
With the nearest neighbours (Å) after each atom.
Fractional positions:
Ca (0.0000, 0.0000, 0.0000)  7 Rh 2.82-2.97, 3 Au 2.87-3.00, 2 Ca 2.99
Ca (0.5000, 0.5000, 0.0000)  7 Rh 2.82-2.97, 3 Au 2.87-3.00, 2 Ca 2.99
Rh (0.2625, 0.5000, 0.1243)  4 Rh 2.69-2.99, 3 Ca 2.87-2.97, 4 Au 2.87-2.94
Rh (0.4844, 0.0000, 0.5025)  4 Rh 2.69-2.99, 4 Ca 2.82-2.97, 3 Au 2.88-2.94
Rh (0.7625, 0.0000, 0.1243)  4 Rh 2.69-2.99, 3 Ca 2.87-2.97, 4 Au 2.87-2.94
Rh (0.9844, 0.5000, 0.5025)  4 Rh 2.69-2.99, 4 Ca 2.82-2.97, 3 Au 2.88-2.94
Au (0.2335, 0.0000, 0.6035)  7 Rh 2.87-2.94, 3 Ca 2.87-3.00, 2 Au 2.99
Au (0.7335, 0.5000, 0.6035)  7 Rh 2.87-2.94, 3 Ca 2.87-3.00, 2 Au 2.99

Record 7
## Li2CaTe2 (PBE)

Data for crystalline Li2CaTe2 at its relaxed geometry.

## Properties
Energy above the most stable polymorph in this dataset: 0.000 eV per atom

Cell: 4.1814 4.1814 14.5453 Å, 90.00 90.00 90.00°
With the nearest neighbours (Å) after each atom.
Fractional positions:
Li (0.0000, 0.5000, 0.2500)  4 Te 2.77, 4 Li 2.96
Li (0.0000, 0.5000, 0.7500)  4 Te 2.77, 4 Li 2.96
Li (0.5000, 0.0000, 0.2500)  4 Te 2.77, 4 Li 2.96
Li (0.5000, 0.0000, 0.7500)  4 Te 2.77, 4 Li 2.96
Ca (0.0000, 0.0000, 0.0000)  8 Te 3.47
Ca (0.5000, 0.5000, 0.5000)  8 Te 3.47
Te (0.0000, 0.0000, 0.3745)  4 Li 2.77
Te (0.0000, 0.0000, 0.6255)  4 Li 2.77
Te (0.5000, 0.5000, 0.1255)  4 Li 2.77
Te (0.5000, 0.5000, 0.8745)  4 Li 2.77

Record 8
## CsCd2In4Sn (PBE)

Data for crystalline CsCd2In4Sn at its relaxed geometry.

## Properties
Formation energy: -0.042 eV/atom

Cell: 11.4696 11.4696 11.4696 Å, 26.57 26.57 26.57°
With the nearest neighbours (Å) after each atom.
Fractional positions:
Cs (0.0000, 0.0000, 0.0000)  8 In 3.96-4.34
Cd (0.2345, 0.2345, 0.2345)  7 In 3.13-3.44
Cd (0.7655, 0.7655, 0.7655)  7 In 3.13-3.44
In (0.1309, 0.1309, 0.1309)  4 Cd 3.22-3.44, 3 Sn 3.27, 3 In 3.54
In (0.4098, 0.4098, 0.4098)  1 Sn 2.99, 3 Cd 3.13
In (0.5902, 0.5902, 0.5902)  1 Sn 2.99, 3 Cd 3.13
In (0.8691, 0.8691, 0.8691)  4 Cd 3.22-3.44, 3 Sn 3.27, 3 In 3.54
Sn (0.5000, 0.5000, 0.5000)  8 In 2.99-3.27